1.
First-principles (meta-GGA SCAN) data for B2TePd at its PBEsol-relaxed geometry, as listed in Alexandria via LeMat-Bulk.

Lattice parameters (Å, degrees): 6.022 6.022 6.022 129.72 129.72 73.86
Element x y z (fractional)
B 0.091 0.625 0.966
B 0.375 0.341 0.466
B 0.659 0.125 0.034
B 0.875 0.909 0.534
Te 0.250 0.750 0.500
Te 0.500 0.500 0.000
Pd 0.000 0.000 0.000
Pd 0.750 0.250 0.500

Properties
The calculated volume is 15.8 Å³/atom. The calculation puts the magnetic moment at 0.00 μB per formula unit. The energy is -20.596 eV per atom. Its formation energy (no corrections) is 625 meV/atom. The space group is I-42d, No. 122.

***

2.
First-principles (meta-GGA SCAN) data for Ga23N5O27 at its PBEsol-relaxed geometry, as listed in Alexandria via LeMat-Bulk.

Lattice parameters (Å, degrees): 5.852 5.856 19.369 81.92 82.31 60.56
Element x y z (fractional)
Ga 0.000 0.000 0.000
Ga 0.000 0.006 0.497
Ga 0.008 0.522 0.409
Ga 0.119 0.589 0.117
Ga 0.231 0.730 0.849
Ga 0.236 0.745 0.243
Ga 0.237 0.255 0.246
Ga 0.246 0.261 0.748
Ga 0.258 0.794 0.659
Ga 0.368 0.879 0.377
Ga 0.475 0.964 0.089
Ga 0.493 0.000 0.494
Ga 0.499 0.497 0.998
Ga 0.499 0.507 0.497
Ga 0.523 0.031 0.906
Ga 0.632 0.125 0.626
Ga 0.712 0.220 0.341
Ga 0.737 0.284 0.151
Ga 0.738 0.748 0.247
Ga 0.761 0.752 0.746
Ga 0.763 0.254 0.747
Ga 0.890 0.394 0.881
Ga 0.969 0.474 0.597
N 0.187 0.163 0.439
N 0.380 0.453 0.187
N 0.652 0.697 0.439
N 0.903 0.959 0.690
N 0.938 0.442 0.694
O 0.041 0.566 0.306
O 0.057 0.091 0.813
O 0.063 0.563 0.814
O 0.076 0.050 0.307
O 0.172 0.178 0.937
O 0.182 0.692 0.439
O 0.192 0.695 0.943
O 0.303 0.798 0.061
O 0.306 0.812 0.559
O 0.322 0.313 0.059
O 0.340 0.305 0.559
O 0.421 0.933 0.192
O 0.439 0.954 0.687
O 0.440 0.429 0.688
O 0.539 0.584 0.308
O 0.544 0.054 0.308
O 0.557 0.077 0.806
O 0.589 0.560 0.810
O 0.673 0.678 0.935
O 0.679 0.188 0.439
O 0.698 0.197 0.936
O 0.800 0.303 0.056
O 0.800 0.309 0.560
O 0.801 0.840 0.557
O 0.830 0.816 0.065
O 0.916 0.442 0.188
O 0.916 0.927 0.192

Properties
The calculated volume is 10.4 Å³/atom. The calculation puts the magnetic moment at 0.00 μB per formula unit. The energy is -12.476 eV per atom. Its formation energy (no corrections) is -1737 meV/atom. The space group is P1, No. 1.

***

3.
First-principles (meta-GGA SCAN) data for AlReMo2 at its PBEsol-relaxed geometry, as listed in Alexandria via LeMat-Bulk.

Lattice parameters (Å, degrees): 4.949 4.949 2.717 90.00 90.00 116.31
Element x y z (fractional)
Al 0.000 0.000 0.000
Re 0.500 0.500 0.000
Mo 0.000 0.500 0.500
Mo 0.500 0.000 0.500

Properties
The calculated volume is 14.9 Å³/atom. The calculation puts the magnetic moment at 0.00 μB per formula unit. The energy is -37.121 eV per atom. The space group is Cmmm, No. 65.

***

4.
First-principles (meta-GGA SCAN) data for HfSiSb2Te at its PBEsol-relaxed geometry, as listed in Alexandria via LeMat-Bulk.

Lattice parameters (Å, degrees): 5.034 5.034 5.137 90.00 90.00 90.00
Element x y z (fractional)
Hf 0.000 0.000 0.000
Si 0.500 0.500 0.500
Sb 0.000 0.500 0.500
Sb 0.500 0.000 0.500
Te 0.500 0.500 0.000

Properties
The calculated volume is 26.0 Å³/atom. The calculation puts the magnetic moment at 0.00 μB per formula unit. The energy is -36.119 eV per atom. Its formation energy (no corrections) is 773 meV/atom. As for the polymorph energy (0 for the lowest one): 64 meV per atom. The space group is P4/mmm, No. 123.

***

5.
First-principles (meta-GGA SCAN) data for TcHgAsSe2 at its PBEsol-relaxed geometry, as listed in Alexandria via LeMat-Bulk.

Lattice parameters (Å, degrees): 4.842 4.842 4.801 90.00 90.00 90.00
Element x y z (fractional)
Tc 0.000 0.000 0.000
Hg 0.500 0.500 0.500
As 0.000 0.000 0.500
Se 0.000 0.500 0.000
Se 0.500 0.000 0.000

Properties
The calculated volume is 22.5 Å³/atom. The calculation puts the magnetic moment at 0.00 μB per formula unit. The energy is -32.325 eV per atom. Its formation energy (no corrections) is 390 meV/atom. The space group is P4/mmm, No. 123.

***

6.
First-principles (meta-GGA SCAN) data for FeTcAg at its PBEsol-relaxed geometry, as listed in Alexandria via LeMat-Bulk.

Lattice parameters (Å, degrees): 4.300 4.300 2.582 90.00 90.00 120.00
Element x y z (fractional)
Fe 0.000 0.000 0.000
Tc 0.333 0.667 0.223
Ag 0.667 0.333 0.681

Properties
The calculated volume is 13.8 Å³/atom. The calculation puts the magnetic moment at 2.19 μB per formula unit. The energy is -27.701 eV per atom. As for the polymorph energy (0 for the lowest one): 0 meV per atom. The space group is P3m1, No. 156.

***

7.
First-principles (meta-GGA SCAN) data for Ba12Cl5F19 at its PBEsol-relaxed geometry, as listed in Alexandria via LeMat-Bulk.

Lattice parameters (Å, degrees): 14.030 14.030 4.230 90.00 90.00 120.00
Element x y z (fractional)
Ba 0.000 0.372 0.000
Ba 0.000 0.822 0.000
Ba 0.166 0.690 0.500
Ba 0.178 0.178 0.000
Ba 0.310 0.477 0.500
Ba 0.372 0.000 0.000
Ba 0.477 0.310 0.500
Ba 0.523 0.834 0.500
Ba 0.628 0.628 0.000
Ba 0.690 0.166 0.500
Ba 0.822 0.000 0.000
Ba 0.834 0.523 0.500
Cl 0.000 0.187 0.500
Cl 0.187 0.000 0.500
Cl 0.333 0.667 0.000
Cl 0.667 0.333 0.000
Cl 0.813 0.813 0.500
F 0.000 0.000 0.000
F 0.000 0.560 0.000
F 0.000 0.719 0.500
F 0.126 0.487 0.500
F 0.182 0.806 0.000
F 0.194 0.376 0.000
F 0.281 0.281 0.500
F 0.361 0.874 0.500
F 0.376 0.194 0.000
F 0.440 0.440 0.000
F 0.487 0.126 0.500
F 0.513 0.639 0.500
F 0.560 0.000 0.000
F 0.624 0.818 0.000
F 0.639 0.513 0.500
F 0.719 0.000 0.500
F 0.806 0.182 0.000
F 0.818 0.624 0.000
F 0.874 0.361 0.500

Properties
The calculated volume is 20.0 Å³/atom. The calculation puts the magnetic moment at 0.00 μB per formula unit. The energy is -20.027 eV per atom. Its formation energy (no corrections) is -3867 meV/atom. The space group is P-62m, No. 189.

***

8.
First-principles (meta-GGA SCAN) data for Sr3Ir2O7 at its PBEsol-relaxed geometry, as listed in Alexandria via LeMat-Bulk.

Lattice parameters (Å, degrees): 10.821 10.821 5.480 90.00 90.00 150.65
Element x y z (fractional)
Sr 0.062 0.938 0.750
Sr 0.250 0.750 0.750
Sr 0.438 0.562 0.750
Sr 0.562 0.438 0.250
Sr 0.750 0.250 0.250
Sr 0.938 0.062 0.250
Ir 0.153 0.847 0.250
Ir 0.347 0.653 0.250
Ir 0.653 0.347 0.750
Ir 0.847 0.153 0.750
O 0.035 0.342 0.062
O 0.056 0.944 0.250
O 0.158 0.465 0.562
O 0.250 0.750 0.250
O 0.342 0.035 0.562
O 0.444 0.556 0.250
O 0.465 0.158 0.062
O 0.535 0.842 0.938
O 0.556 0.444 0.750
O 0.658 0.965 0.438
O 0.750 0.250 0.750
O 0.842 0.535 0.438
O 0.944 0.056 0.750
O 0.965 0.658 0.938

Properties
The calculated volume is 13.1 Å³/atom. The calculation puts the magnetic moment at 0.00 μB per formula unit. The energy is -23.076 eV per atom. Its formation energy (no corrections) is -2022 meV/atom. As for the polymorph energy (0 for the lowest one): 0 meV per atom. The space group is Ccce, No. 68.

***

9.
First-principles (meta-GGA SCAN) data for Y5Si2B8 at its PBEsol-relaxed geometry, as listed in Alexandria via LeMat-Bulk.

Lattice parameters (Å, degrees): 7.192 7.192 7.993 90.00 90.00 90.00
Element x y z (fractional)
Y 0.000 0.000 0.000
Y 0.181 0.319 0.276
Y 0.181 0.319 0.724
Y 0.319 0.819 0.276
Y 0.319 0.819 0.724
Y 0.500 0.500 0.000
Y 0.681 0.181 0.276
Y 0.681 0.181 0.724
Y 0.819 0.681 0.276
Y 0.819 0.681 0.724
Si 0.115 0.615 0.000
Si 0.385 0.115 0.000
Si 0.615 0.885 0.000
Si 0.885 0.385 0.000
B 0.000 0.000 0.337
B 0.000 0.000 0.663
B 0.039 0.828 0.500
B 0.090 0.590 0.500
B 0.172 0.039 0.500
B 0.328 0.539 0.500
B 0.410 0.090 0.500
B 0.461 0.328 0.500
B 0.500 0.500 0.337
B 0.500 0.500 0.663
B 0.539 0.672 0.500
B 0.590 0.910 0.500
B 0.672 0.461 0.500
B 0.828 0.961 0.500
B 0.910 0.410 0.500
B 0.961 0.172 0.500

Properties
The calculated volume is 13.8 Å³/atom. The calculation puts the magnetic moment at 0.00 μB per formula unit. The energy is -15.326 eV per atom. Its formation energy (no corrections) is -747 meV/atom. The space group is P4/mbm, No. 127.

***

10.
First-principles (meta-GGA SCAN) data for ZrNiW2 at its PBEsol-relaxed geometry, as listed in Alexandria via LeMat-Bulk.

Lattice parameters (Å, degrees): 4.921 4.921 5.067 101.30 101.30 31.91
Element x y z (fractional)
Zr 0.000 0.000 0.000
Ni 0.255 0.255 0.844
W 0.558 0.558 0.528
W 0.790 0.790 0.331

Properties
The calculated volume is 15.9 Å³/atom. The calculation puts the magnetic moment at 0.00 μB per formula unit. The energy is -46.257 eV per atom. As for the polymorph energy (0 for the lowest one): 223 meV per atom. The space group is Cm, No. 8.

***

11.
First-principles (meta-GGA SCAN) data for HfMo3As at its PBEsol-relaxed geometry, as listed in Alexandria via LeMat-Bulk.

Lattice parameters (Å, degrees): 4.725 4.725 4.725 90.00 90.00 90.00
Element x y z (fractional)
Hf 0.000 0.000 0.000
Mo 0.000 0.000 0.500
Mo 0.000 0.500 0.000
Mo 0.500 0.000 0.000
As 0.500 0.500 0.500

Properties
The calculated volume is 21.1 Å³/atom. The calculation puts the magnetic moment at 0.00 μB per formula unit. The energy is -35.399 eV per atom. The space group is Pm-3m, No. 221.

***

12.
First-principles (meta-GGA SCAN) data for IrCl2F at its PBEsol-relaxed geometry, as listed in Alexandria via LeMat-Bulk.

Lattice parameters (Å, degrees): 8.560 8.560 8.560 19.18 19.18 19.18
Element x y z (fractional)
Ir 0.000 0.000 0.000
Cl 0.087 0.087 0.087
Cl 0.913 0.913 0.913
F 0.500 0.500 0.500

Properties
The calculated volume is 14.8 Å³/atom. The calculation puts the magnetic moment at 0.56 μB per formula unit. The energy is -22.464 eV per atom. Its formation energy (no corrections) is 184 meV/atom. The space group is R-3m, No. 166.

***

13.
First-principles (meta-GGA SCAN) data for TaFe2Ir at its PBEsol-relaxed geometry, as listed in Alexandria via LeMat-Bulk.

Lattice parameters (Å, degrees): 4.658 4.658 4.658 132.86 132.86 68.87
Element x y z (fractional)
Ta 0.000 0.000 0.000
Fe 0.500 0.500 0.000
Fe 0.750 0.250 0.500
Ir 0.250 0.750 0.500

Properties
The calculated volume is 13.3 Å³/atom. The calculation puts the magnetic moment at 0.46 μB per formula unit. The energy is -43.757 eV per atom. As for the polymorph energy (0 for the lowest one): 92 meV per atom. The space group is I-4m2, No. 119.

***

14.
First-principles (meta-GGA SCAN) data for La3Sc at its PBEsol-relaxed geometry, as listed in Alexandria via LeMat-Bulk.

Lattice parameters (Å, degrees): 3.552 4.978 7.011 90.00 90.00 90.00
Element x y z (fractional)
La 0.000 0.000 0.000
La 0.500 0.500 0.261
La 0.500 0.500 0.739
Sc 0.000 0.000 0.500

Properties
The calculated volume is 31.0 Å³/atom. The calculation puts the magnetic moment at 0.01 μB per formula unit. The energy is -35.846 eV per atom. The space group is Pmmm, No. 47.

***

15.
First-principles (meta-GGA SCAN) data for Li2LaMo at its PBEsol-relaxed geometry, as listed in Alexandria via LeMat-Bulk.

Lattice parameters (Å, degrees): 3.068 5.296 4.967 90.00 100.88 90.00
Element x y z (fractional)
Li 0.216 0.000 0.295
Li 0.784 0.000 0.705
La 0.500 0.500 0.000
Mo 0.000 0.500 0.500

Properties
The calculated volume is 19.8 Å³/atom. The calculation puts the magnetic moment at 0.00 μB per formula unit. The energy is -20.207 eV per atom. As for the polymorph energy (0 for the lowest one): 11 meV per atom. The space group is P2/m, No. 10.

***

16.
First-principles (meta-GGA SCAN) data for NaGe3P3 at its PBEsol-relaxed geometry, as listed in Alexandria via LeMat-Bulk.

Lattice parameters (Å, degrees): 3.607 8.327 10.299 90.00 90.00 90.00
Element x y z (fractional)
Na 0.000 0.128 0.000
Na 0.000 0.872 0.500
Ge 0.000 0.211 0.719
Ge 0.000 0.497 0.146
Ge 0.000 0.503 0.646
Ge 0.000 0.789 0.219
Ge 0.500 0.316 0.413
Ge 0.500 0.684 0.913
P 0.000 0.264 0.276
P 0.000 0.736 0.776
P 0.500 0.131 0.581
P 0.500 0.429 0.006
P 0.500 0.571 0.506
P 0.500 0.869 0.081

Properties
The calculated volume is 22.1 Å³/atom. The calculation puts the magnetic moment at 0.00 μB per formula unit. The energy is -13.437 eV per atom. The space group is Pmc2_1, No. 26.

***

17.
First-principles (meta-GGA SCAN) data for LiY2NiMo at its PBEsol-relaxed geometry, as listed in Alexandria via LeMat-Bulk.

Lattice parameters (Å, degrees): 4.917 4.917 4.116 90.00 90.00 90.00
Element x y z (fractional)
Li 0.000 0.000 0.000
Y 0.000 0.500 0.000
Y 0.500 0.000 0.000
Ni 0.500 0.500 0.500
Mo 0.000 0.000 0.500

Properties
The calculated volume is 19.9 Å³/atom. The calculation puts the magnetic moment at 1.02 μB per formula unit. The energy is -20.820 eV per atom. The space group is P4/mmm, No. 123.

***

18.
First-principles (meta-GGA SCAN) data for InAs2IBr at its PBEsol-relaxed geometry, as listed in Alexandria via LeMat-Bulk.

Lattice parameters (Å, degrees): 5.352 5.352 5.698 90.00 90.00 90.00
Element x y z (fractional)
In 0.000 0.000 0.000
As 0.000 0.500 0.500
As 0.500 0.000 0.500
I 0.500 0.500 0.500
Br 0.500 0.500 0.000

Properties
The calculated volume is 32.6 Å³/atom. The calculation puts the magnetic moment at 0.79 μB per formula unit. The energy is -25.176 eV per atom. Its formation energy (no corrections) is 817 meV/atom. The space group is P4/mmm, No. 123.

***

19.
First-principles (meta-GGA SCAN) data for MnMo2Pt at its PBEsol-relaxed geometry, as listed in Alexandria via LeMat-Bulk.

Lattice parameters (Å, degrees): 3.781 3.781 3.926 90.00 90.00 90.00
Element x y z (fractional)
Mn 0.000 0.000 0.000
Mo 0.000 0.500 0.500
Mo 0.500 0.000 0.500
Pt 0.500 0.500 0.000

Properties
The calculated volume is 14.0 Å³/atom. The calculation puts the magnetic moment at 1.57 μB per formula unit. The energy is -39.794 eV per atom. As for the polymorph energy (0 for the lowest one): 0 meV per atom. The space group is P4/mmm, No. 123.

***

20.
First-principles (meta-GGA SCAN) data for Ba2SrPb2 at its PBEsol-relaxed geometry, as listed in Alexandria via LeMat-Bulk.

Lattice parameters (Å, degrees): 8.897 8.897 5.127 90.00 90.00 90.00
Element x y z (fractional)
Ba 0.165 0.335 0.000
Ba 0.335 0.835 0.000
Ba 0.665 0.165 0.000
Ba 0.835 0.665 0.000
Sr 0.000 0.000 0.500
Sr 0.500 0.500 0.500
Pb 0.126 0.626 0.500
Pb 0.374 0.126 0.500
Pb 0.626 0.874 0.500
Pb 0.874 0.374 0.500

Properties
The calculated volume is 40.6 Å³/atom. The calculation puts the magnetic moment at 0.32 μB per formula unit. The energy is -51.297 eV per atom. The space group is P4/mbm, No. 127.